Record 1
A relaxed SmTl2Te2O6 crystal. Source: Alexandria via LeMat-Bulk, functional GGA-PBE.

The space group is C2/m (No. 12) and the conventional cell measures 10.055, 7.074 and 6.718 Å, with angles of 90.00, 111.91 and 90.00 degrees. The distinct sites, in fractional coordinates, are Sm at (0.000, 0.000, 0.000), Tl at (0.184, 0.000, 0.615), Te at (0.054, 0.500, 0.745), O at (0.040, 0.215, 0.765) and O at (0.249, 0.000, 0.207).

The density comes out at 6.8 g/cm³. Its formation energy from raw total energies is -1329 meV per atom. The value obtained for the uncorrected energy is -5.46 eV/atom. For the density of states at the Fermi level, the calculation gives 4.9 states/eV/cell. Its magnetization is 0.00 μB/f.u.

***

Record 2
A relaxed SmTmTe2O8 crystal. Source: Alexandria via LeMat-Bulk, functional GGA-PBE.

The space group is I-4m2 (No. 119) and the conventional cell measures 7.394, 7.394 and 6.869 Å, with angles of 90.00, 90.00 and 90.00 degrees. The distinct sites, in fractional coordinates, are Sm at (0.000, 0.000, 0.000), Tm at (0.000, 0.500, 0.250), Te at (0.000, 0.000, 0.500), Te at (0.000, 0.500, 0.750), O at (0.000, 0.190, 0.299) and O at (0.000, 0.319, 0.952).

The density comes out at 6.2 g/cm³. Its formation energy from raw total energies is -1939 meV per atom. The value obtained for the uncorrected energy is -6.53 eV/atom. For the density of states at the Fermi level, the calculation gives 3.6 states/eV/cell. Its magnetization is 0.00 μB/f.u.

***

Record 3
A relaxed SmTmTeO6 crystal. Source: Alexandria via LeMat-Bulk, functional GGA-PBE.

The space group is P-31c (No. 163) and the conventional cell measures 5.5265, 5.5265 and 9.7669 Å, with angles of 90.00, 90.00 and 120.00 degrees. The distinct sites, in fractional coordinates, are Sm at (0.0000, 0.0000, 0.0000), Tm at (0.3333, 0.6667, 0.2500), Te at (0.3333, 0.6667, 0.7500) and O at (0.0378, 0.3750, 0.6377).

The density comes out at 7.0 g/cm³. Its formation energy from raw total energies is -2475 meV per atom. The value obtained for the uncorrected energy is -7.15 eV/atom. For the density of states at the Fermi level, the calculation gives 0.0 states/eV/cell. Its magnetization is 0.00 μB/f.u.

***

Record 4
A relaxed SmTmTeO2 crystal. Source: Alexandria via LeMat-Bulk, functional GGA-PBE.

The space group is P2_1/m (No. 11) and the conventional cell measures 6.847, 4.097 and 7.791 Å, with angles of 90.00, 107.18 and 90.00 degrees. The distinct sites, in fractional coordinates, are Sm at (0.177, 0.250, 0.425), Tm at (0.155, 0.250, 0.913), Te at (0.452, 0.750, 0.750), O at (0.011, 0.750, 0.885) and O at (0.017, 0.750, 0.372).

The density comes out at 7.6 g/cm³. Its formation energy from raw total energies is -2956 meV per atom. The value obtained for the uncorrected energy is -7.41 eV/atom. For the density of states at the Fermi level, the calculation gives 0.0 states/eV/cell. Its magnetization is 0.00 μB/f.u.

***

Record 5
A relaxed SmTmTe2O crystal. Source: Alexandria via LeMat-Bulk, functional GGA-PBE.

The space group is P4/nmm (No. 129, origin choice 2) and the conventional cell measures 4.166, 4.166 and 15.616 Å, with angles of 90.00, 90.00 and 90.00 degrees. The distinct sites, in fractional coordinates, are Sm at (0.250, 0.250, 0.070), Tm at (0.250, 0.250, 0.629), Te at (0.250, 0.250, 0.416), Te at (0.250, 0.250, 0.810) and O at (0.250, 0.750, 0.000).

The density comes out at 7.2 g/cm³. Its formation energy from raw total energies is -2048 meV per atom. The value obtained for the uncorrected energy is -6.13 eV/atom. For the density of states at the Fermi level, the calculation gives 2.8 states/eV/cell. Its magnetization is 0.00 μB/f.u.

***

Record 6
A relaxed SmYTeO2 crystal. Source: Alexandria via LeMat-Bulk, functional GGA-PBE.

The space group is P2_1/m (No. 11) and the conventional cell measures 6.885, 4.130 and 7.870 Å, with angles of 90.00, 106.84 and 90.00 degrees. The distinct sites, in fractional coordinates, are Sm at (0.174, 0.250, 0.423), Y at (0.160, 0.250, 0.912), Te at (0.451, 0.750, 0.746), O at (0.007, 0.750, 0.881) and O at (0.018, 0.750, 0.375).

The density comes out at 6.2 g/cm³. Its formation energy from raw total energies is -2929 meV per atom. The value obtained for the uncorrected energy is -7.78 eV/atom. For the density of states at the Fermi level, the calculation gives 0.0 states/eV/cell. Its magnetization is 0.00 μB/f.u.

***

Record 7
A relaxed SmYTeO6 crystal. Source: Alexandria via LeMat-Bulk, functional GGA-PBE.

The space group is P-31c (No. 163) and the conventional cell measures 5.5922, 5.5922 and 9.6825 Å, with angles of 90.00, 90.00 and 120.00 degrees. The distinct sites, in fractional coordinates, are Sm at (0.0000, 0.0000, 0.0000), Y at (0.3333, 0.6667, 0.2500), Te at (0.3333, 0.6667, 0.7500) and O at (0.0434, 0.3759, 0.6367).

The density comes out at 5.9 g/cm³. Its formation energy from raw total energies is -2433 meV per atom. The value obtained for the uncorrected energy is -7.33 eV/atom. For the density of states at the Fermi level, the calculation gives 0.0 states/eV/cell. Its magnetization is 0.00 μB/f.u.

***

Record 8
A relaxed Sm2YTeO8 crystal. Source: Alexandria via LeMat-Bulk, functional GGA-PBE.

The space group is Cmmm (No. 65) and the conventional cell measures 7.203, 7.327 and 6.959 Å, with angles of 90.00, 90.00 and 90.00 degrees. The distinct sites, in fractional coordinates, are Sm at (0.000, 0.000, 0.250), Y at (0.000, 0.500, 0.000), Te at (0.000, 0.500, 0.500), O at (0.000, 0.321, 0.290), O at (0.196, 0.000, 0.000) and O at (0.231, 0.000, 0.500).

The density comes out at 5.8 g/cm³. Its formation energy from raw total energies is -2444 meV per atom. The value obtained for the uncorrected energy is -7.34 eV/atom. For the density of states at the Fermi level, the calculation gives 14.8 states/eV/cell. Its magnetization is 0.95 μB/f.u.

***

Record 9
A relaxed SmYTe2O8 crystal. Source: Alexandria via LeMat-Bulk, functional GGA-PBE.

The space group is I-4m2 (No. 119) and the conventional cell measures 7.449, 7.449 and 6.899 Å, with angles of 90.00, 90.00 and 90.00 degrees. The distinct sites, in fractional coordinates, are Sm at (0.000, 0.000, 0.000), Y at (0.000, 0.500, 0.250), Te at (0.000, 0.000, 0.500), Te at (0.000, 0.500, 0.750), O at (0.000, 0.188, 0.300) and O at (0.000, 0.318, 0.949).

The density comes out at 5.4 g/cm³. Its formation energy from raw total energies is -1929 meV per atom. The value obtained for the uncorrected energy is -6.69 eV/atom. For the density of states at the Fermi level, the calculation gives 3.9 states/eV/cell. Its magnetization is 0.00 μB/f.u.

***

Record 10
A relaxed SmY2TeO8 crystal. Source: Alexandria via LeMat-Bulk, functional GGA-PBE.

The space group is Cmmm (No. 65) and the conventional cell measures 7.087, 7.174 and 6.988 Å, with angles of 90.00, 90.00 and 90.00 degrees. The distinct sites, in fractional coordinates, are Sm at (0.000, 0.000, 0.000), Y at (0.000, 0.500, 0.257), Te at (0.000, 0.000, 0.500), O at (0.000, 0.183, 0.292), O at (0.184, 0.500, 0.000) and O at (0.224, 0.500, 0.500).

The density comes out at 5.5 g/cm³. Its formation energy from raw total energies is -2477 meV per atom. The value obtained for the uncorrected energy is -7.51 eV/atom. For the density of states at the Fermi level, the calculation gives 11.5 states/eV/cell. Its magnetization is 0.87 μB/f.u.